{"formula": "Tb2Er2Ga4Cu", "functional": "GGA-PBE", "state": "relaxed", "total_magnetization_mub_per_atom": 0.000, "formation_energy_ev_per_atom": -0.317, "lattice": [[-4.2245, 3.8651, 3.0685], [0.3368, -6.1079, 2.1866], [6.2711, 1.5228, 0.7451]], "species": ["Ga", "Ga", "Ga", "Ga", "Tb", "Tb", "Cu", "Er", "Er"], "frac_coords": [[0.0000, 0.2412, 0.7588], [0.0000, 0.7588, 0.2412], [0.4825, 0.2412, 0.2412], [0.5175, 0.7588, 0.7588], [0.0000, 0.6913, 0.6913], [0.0000, 0.3087, 0.3087], [0.0000, 0.0000, 0.0000], [0.5000, 0.2500, 0.7500], [0.5000, 0.7500, 0.2500]]}